[1]
Crystalline Y2AlSb at its relaxed geometry. Source: Alexandria, functional PBE.

abc: 5.5316 5.5316 5.5316
angles: 128.59 128.59 75.67
Closest atoms and distances in Å follow each position.
Sites, in units of the cell vectors:
Sb 0.7500 0.2500 0.5000  8 Y 3.24, 4 Al 3.39
Y 0.5000 0.5000 0.0000  4 Sb 3.24, 4 Al 3.24, 4 Y 3.39
Al 0.2500 0.7500 0.5000  8 Y 3.24, 4 Sb 3.39
Y 0.0000 0.0000 0.0000  4 Al 3.24, 4 Sb 3.24, 4 Y 3.39

## Properties
Formation energy from raw total energies   -556 meV/atom
E above lowest polymorph   194 meV per atom
Magnetization   0.004 μB/atom

[2]
Crystalline ZrHPd at its relaxed geometry. Source: Alexandria, functional PBE.

abc: 5.9856 5.5132 6.0459
angles: 126.70 90.00 90.00
Closest atoms and distances in Å follow each position.
Sites, in units of the cell vectors:
Pd 0.3288 0.9933 0.3286  1 H 1.93
Pd 0.8288 0.0067 0.1714  1 H 1.93
Zr 0.4868 0.4428 0.2232  4 H 2.15-2.19
Pd 0.1712 0.9933 0.8286  1 H 1.93
H 0.7556 0.4249 0.4591  1 Pd 1.93, 2 Zr 2.15-2.16
Zr 0.5132 0.5572 0.7768  4 H 2.15-2.19
Zr 0.9868 0.5572 0.2768  4 H 2.15-2.19
H 0.2444 0.5751 0.5409  1 Pd 1.93, 2 Zr 2.15-2.16
H 0.2556 0.5751 0.0409  1 Pd 1.93, 2 Zr 2.15-2.16
Zr 0.0132 0.4428 0.7232  4 H 2.15-2.19
Pd 0.6712 0.0067 0.6714  1 H 1.93
H 0.7444 0.4249 0.9591  1 Pd 1.93, 2 Zr 2.15-2.16

## Properties
E above lowest polymorph   215 meV per atom
Magnetization   0.000 μB/atom

[3]
Crystalline LiSc3Pa4Se8 at its relaxed geometry. Source: Alexandria, functional PBE.

abc: 7.5071 8.3489 7.5101
angles: 116.77 119.99 90.00
Closest atoms and distances in Å follow each position.
Sites, in units of the cell vectors:
Sc 0.5000 0.5000 0.5000  6 Se 2.70
Se 0.2389 0.7231 0.4778  1 Li 2.67, 2 Sc 2.70, 3 Pa 2.92-2.95
Li 0.0000 0.5000 0.0000  6 Se 2.67
Pa 0.0000 0.0000 0.5000  6 Se 2.92
Pa 0.0000 0.0000 0.0000  6 Se 2.92
Se 0.7456 0.7232 0.9844  1 Li 2.67, 2 Sc 2.70, 3 Pa 2.92-2.95
Sc 0.0000 0.5000 0.5000  6 Se 2.70
Se 0.2579 0.2739 0.5158  3 Sc 2.70, 3 Pa 2.92
Se 0.7421 0.7261 0.4842  3 Sc 2.70, 3 Pa 2.92
Se 0.2544 0.2768 0.0156  1 Li 2.67, 2 Sc 2.70, 3 Pa 2.92-2.95
Pa 0.5000 0.0000 0.0000  6 Se 2.95
Sc 0.5000 0.5000 0.0000  6 Se 2.70
Se 0.7611 0.2768 0.0156  1 Li 2.67, 2 Sc 2.70, 3 Pa 2.92-2.95
Pa 0.5000 0.0000 0.5000  6 Se 2.92
Se 0.7611 0.2769 0.5222  1 Li 2.67, 2 Sc 2.70, 3 Pa 2.92-2.95
Se 0.2389 0.7232 0.9844  1 Li 2.67, 2 Sc 2.70, 3 Pa 2.92-2.95

## Properties
Formation energy from raw total energies   -1380 meV/atom
Magnetization   0.000 μB/atom